(P)
Material: CaTaSe2Br
Method: DFT, PBE
State: optimized geometry

The space group is P4/mmm (No. 123) and the conventional cell measures 5.400, 5.400 and 5.176 Å, with angles of 90.00, 90.00 and 90.00 degrees. Symmetry generates all atoms from Ca at (0.000, 0.000, 0.000), Ta at (0.500, 0.500, 0.500), Se at (0.000, 0.500, 0.000) and Br at (0.000, 0.000, 0.500).

The magnetic moment is 2.03 Bohr magnetons per cell.

=====

(Q)
Material: CaTaSe2Br
Method: DFT, PBE
State: optimized geometry

The space group is P4/mmm (No. 123) and the conventional cell measures 5.447, 5.447 and 5.058 Å, with angles of 90.00, 90.00 and 90.00 degrees. Symmetry generates all atoms from Ca at (0.000, 0.000, 0.000), Ta at (0.500, 0.500, 0.000), Se at (0.000, 0.500, 0.500) and Br at (0.000, 0.000, 0.500).

The magnetic moment is 3.45 Bohr magnetons per cell.

=====

(R)
Material: CaTaSe2Br
Method: DFT, PBE
State: optimized geometry

The space group is P4/mmm (No. 123) and the conventional cell measures 5.075, 5.075 and 5.173 Å, with angles of 90.00, 90.00 and 90.00 degrees. Symmetry generates all atoms from Ca at (0.000, 0.000, 0.000), Ta at (0.500, 0.500, 0.500), Se at (0.000, 0.500, 0.500) and Br at (0.500, 0.500, 0.000).

The magnetic moment is 0.00 Bohr magnetons per cell.

=====

Which of them is the most stable, and which is the least stable? (R) and (Q), in that order.

=====

(P)
Material: CaTeSe2Br
Method: DFT, PBE
State: optimized geometry

The space group is P4/mmm (No. 123) and the conventional cell measures 5.589, 5.589 and 5.252 Å, with angles of 90.00, 90.00 and 90.00 degrees. Symmetry generates all atoms from Ca at (0.000, 0.000, 0.000), Te at (0.500, 0.500, 0.500), Se at (0.000, 0.500, 0.000) and Br at (0.000, 0.000, 0.500).

The magnetic moment is 0.00 Bohr magnetons per cell.

=====

(Q)
Material: CaTeSe2Br
Method: DFT, PBE
State: optimized geometry

The space group is P4/mmm (No. 123) and the conventional cell measures 5.494, 5.494 and 5.362 Å, with angles of 90.00, 90.00 and 90.00 degrees. Symmetry generates all atoms from Ca at (0.000, 0.000, 0.000), Te at (0.500, 0.500, 0.500), Se at (0.000, 0.500, 0.500) and Br at (0.500, 0.500, 0.000).

The magnetic moment is 0.00 Bohr magnetons per cell.

=====

Which of them is the most stable, and which is the least stable? (Q) and (P), in that order.

=====

(P)
Material: CaTlSeBr2
Method: DFT, PBE
State: optimized geometry

The space group is P4/mmm (No. 123) and the conventional cell measures 5.660, 5.660 and 5.735 Å, with angles of 90.00, 90.00 and 90.00 degrees. Symmetry generates all atoms from Ca at (0.000, 0.000, 0.000), Tl at (0.500, 0.500, 0.500), Se at (0.000, 0.000, 0.500) and Br at (0.000, 0.500, 0.000).

The magnetic moment is 1.01 Bohr magnetons per cell.

=====

(Q)
Material: CaTlSeBr2
Method: DFT, PBE
State: optimized geometry

The space group is P4/mmm (No. 123) and the conventional cell measures 5.729, 5.729 and 5.414 Å, with angles of 90.00, 90.00 and 90.00 degrees. Symmetry generates all atoms from Ca at (0.000, 0.000, 0.000), Tl at (0.500, 0.500, 0.500), Se at (0.500, 0.500, 0.000) and Br at (0.000, 0.500, 0.500).

The magnetic moment is 0.00 Bohr magnetons per cell.

=====

Which of them is the most stable, and which is the least stable? (P) and (Q), in that order.

=====

(P)
Material: CaTlSe2Br
Method: DFT, PBE
State: optimized geometry

The space group is P4/mmm (No. 123) and the conventional cell measures 5.621, 5.621 and 5.699 Å, with angles of 90.00, 90.00 and 90.00 degrees. Symmetry generates all atoms from Ca at (0.000, 0.000, 0.000), Tl at (0.500, 0.500, 0.500), Se at (0.000, 0.500, 0.000) and Br at (0.000, 0.000, 0.500).

The magnetic moment is 1.76 Bohr magnetons per cell.

=====

(Q)
Material: CaTlSe2Br
Method: DFT, PBE
State: optimized geometry

The space group is P4/mmm (No. 123) and the conventional cell measures 5.379, 5.379 and 5.629 Å, with angles of 90.00, 90.00 and 90.00 degrees. Symmetry generates all atoms from Ca at (0.000, 0.000, 0.000), Tl at (0.500, 0.500, 0.500), Se at (0.000, 0.500, 0.500) and Br at (0.500, 0.500, 0.000).

The magnetic moment is 0.00 Bohr magnetons per cell.

=====

Which of them is the most stable, and which is the least stable? (P) and (Q), in that order.

=====

(P)
Material: CaWSeBr2
Method: DFT, PBE
State: optimized geometry

The space group is P4/mmm (No. 123) and the conventional cell measures 5.333, 5.333 and 5.828 Å, with angles of 90.00, 90.00 and 90.00 degrees. Symmetry generates all atoms from Ca at (0.000, 0.000, 0.000), W at (0.500, 0.500, 0.500), Se at (0.000, 0.000, 0.500) and Br at (0.000, 0.500, 0.000).

The magnetic moment is 4.00 Bohr magnetons per cell.

=====

(Q)
Material: CaWSeBr2
Method: DFT, PBE
State: optimized geometry

The space group is P4/mmm (No. 123) and the conventional cell measures 5.291, 5.291 and 4.854 Å, with angles of 90.00, 90.00 and 90.00 degrees. Symmetry generates all atoms from Ca at (0.000, 0.000, 0.000), W at (0.500, 0.500, 0.500), Se at (0.500, 0.500, 0.000) and Br at (0.000, 0.500, 0.500).

The magnetic moment is 0.94 Bohr magnetons per cell.

=====

Which of them is the most stable, and which is the least stable? (Q) and (P), in that order.

=====

(P)
Material: CaZnSeBr2
Method: DFT, PBE
State: optimized geometry

The space group is P4/mmm (No. 123) and the conventional cell measures 5.499, 5.499 and 5.872 Å, with angles of 90.00, 90.00 and 90.00 degrees. Symmetry generates all atoms from Ca at (0.000, 0.000, 0.000), Zn at (0.500, 0.500, 0.500), Se at (0.000, 0.000, 0.500) and Br at (0.000, 0.500, 0.000).

The magnetic moment is 0.00 Bohr magnetons per cell.

=====

(Q)
Material: CaZnSeBr2
Method: DFT, PBE
State: optimized geometry

The space group is P4/mmm (No. 123) and the conventional cell measures 5.106, 5.106 and 5.170 Å, with angles of 90.00, 90.00 and 90.00 degrees. Symmetry generates all atoms from Ca at (0.000, 0.000, 0.000), Zn at (0.500, 0.500, 0.500), Se at (0.500, 0.500, 0.000) and Br at (0.000, 0.500, 0.500).

The magnetic moment is 0.00 Bohr magnetons per cell.

=====

Which of them is the most stable, and which is the least stable? (Q) and (P), in that order.